No. 1
Be2Se: relaxed, PBE-GGA.

Cell: 3.5936 7.2768 8.0945 Å, 90.00 90.00 90.00°
Space group Ima2 (No. 46)
Symmetry-distinct sites (fractional):
Be1 0.2500 0.0882 0.0000 [4 per cell]
Be2 0.2500 0.6231 0.3276 [4 per cell]
Se1 0.2500 0.2457 0.2348 [4 per cell]

For the formation energy without anion corrections, the calculation gives -14 kJ/mol of formula units. Its total energy is -3.695 eV per atom. The density of states at the Fermi level comes out at 0.142 states/eV per atom. The calculation puts the total magnetization at 0.00 μB per formula unit. As for the relative energy among the computed polymorphs: 23.1 kJ per mole of atoms. The calculation puts the calculated volume at 17.6 A^3/atom.

No. 2
RbN2Cl8: relaxed, PBE-GGA.

Cell: 6.1099 7.0592 8.1614 Å, 80.23 78.11 87.72°
Space group P-1 (No. 2)
Symmetry-distinct sites (fractional):
Rb1 0.0000 0.0000 0.0000 [1 per cell]
N1 0.1378 0.7033 0.7146 [2 per cell]
Cl1 0.1406 0.3626 0.2787 [2 per cell]
Cl2 0.2631 0.8009 0.4984 [2 per cell]
Cl3 0.2896 0.4872 0.7752 [2 per cell]
Cl4 0.4615 0.8772 0.1478 [2 per cell]

For the formation energy without anion corrections, the calculation gives 53 kJ/mol of formula units. Its total energy is -2.894 eV per atom. The density of states at the Fermi level comes out at 0.002 states/eV per atom. The calculation puts the total magnetization at 1.02 μB per formula unit. The calculation puts the calculated volume at 30.9 A^3/atom.

No. 3
Ba2LiHg: relaxed, PBE-GGA.

Cell: 4.1468 4.1468 9.1638 Å, 90.00 90.00 90.00°
Space group P4mm (No. 99)
Symmetry-distinct sites (fractional):
Ba1 0.0000 0.0000 0.0000 [1 per cell]
Ba2 0.5000 0.5000 0.3889 [1 per cell]
Li1 0.5000 0.5000 0.7478 [1 per cell]
Hg1 0.0000 0.0000 0.6125 [1 per cell]

Its total energy is -1.727 eV per atom. The density of states at the Fermi level comes out at 0.640 states/eV per atom. Its energy of formation is -0.2114 eV per atom. The calculation puts the total magnetization at 0.00 μB per formula unit. The calculation puts the calculated volume at 39.4 A^3/atom.

No. 4
Er2RhI: relaxed, PBE-GGA.

Cell: 7.0658 4.0805 8.2747 Å, 90.00 90.55 90.00°
Space group Cm (No. 8)
Symmetry-distinct sites (fractional):
Er1 0.0000 0.0000 0.0000 [2 per cell]
Er2 0.1704 0.5000 0.3396 [2 per cell]
Rh1 0.3350 0.0000 0.1609 [2 per cell]
I1 0.0067 0.0000 0.6144 [2 per cell]

For the formation energy without anion corrections, the calculation gives -358 kJ/mol of formula units. Its total energy is -5.434 eV per atom. The density of states at the Fermi level comes out at 0.002 states/eV per atom. The calculation puts the total magnetization at 0.00 μB per formula unit. As for the relative energy among the computed polymorphs: 1.3 kJ per mole of atoms. The calculation puts the calculated volume at 29.8 A^3/atom.

No. 5
AcGa6Ni2: relaxed, PBE-GGA.

Cell: 11.6995 11.6995 11.6995 Å, 90.00 90.00 90.00°
Space group Fd-3m (No. 227, origin choice 2)
Symmetry-distinct sites (fractional):
Ac1 0.1250 0.1250 0.1250 [8 per cell]
Ga1 0.0962 0.3750 0.8750 [48 per cell]
Ni1 0.0000 0.0000 0.5000 [16 per cell]

Its total energy is -3.820 eV per atom. The density of states at the Fermi level comes out at 0.462 states/eV per atom. Its energy of formation is -0.0604 eV per atom. The calculation puts the total magnetization at 0.00 μB per formula unit. The calculation puts the calculated volume at 22.2 A^3/atom.

No. 6
Pm3Ge4Ir: relaxed, PBE-GGA.

Cell: 19.3684 4.6238 3.9961 Å, 90.00 90.06 90.00°
Space group C2/m (No. 12)
Symmetry-distinct sites (fractional):
Pm1 0.0000 0.0000 0.0000 [2 per cell]
Pm2 0.1569 0.0000 0.4999 [4 per cell]
Ge1 0.0914 0.5000 0.0002 [4 per cell]
Ge2 0.2213 0.5000 0.9996 [4 per cell]
Ir1 0.0000 0.5000 0.5000 [2 per cell]

Its total energy is -5.853 eV per atom. The density of states at the Fermi level comes out at 0.733 states/eV per atom. Its energy of formation is -0.6547 eV per atom. The calculation puts the total magnetization at 0.00 μB per formula unit. The calculation puts the calculated volume at 22.4 A^3/atom.

No. 7
K2CoOs: relaxed, PBE-GGA.

Cell: 12.2606 12.2606 4.3999 Å, 90.00 90.00 90.00°
Space group I-42d (No. 122)
Symmetry-distinct sites (fractional):
K1 0.0582 0.7500 0.1250 [8 per cell]
Co1 0.0000 0.0000 0.0000 [4 per cell]
Os1 0.0000 0.0000 0.5000 [4 per cell]

Its total energy is -3.843 eV per atom. The density of states at the Fermi level comes out at 1.464 states/eV per atom. Its energy of formation is 1.2895 eV per atom. The calculation puts the total magnetization at 2.93 μB per formula unit. As for the relative energy among the computed polymorphs: 52.1 kJ per mole of atoms. The calculation puts the calculated volume at 41.3 A^3/atom.

No. 8
Co2AgTe: relaxed, PBE-GGA.

Cell: 3.0301 3.3272 6.8258 Å, 90.00 90.00 90.00°
Space group Pmm2 (No. 25)
Symmetry-distinct sites (fractional):
Co1 0.0000 0.0000 0.0000 [1 per cell]
Co2 0.5000 0.5000 0.1525 [1 per cell]
Ag1 0.5000 0.5000 0.7598 [1 per cell]
Te1 0.0000 0.0000 0.3794 [1 per cell]

For the formation energy without anion corrections, the calculation gives 136 kJ/mol of formula units. Its total energy is -4.700 eV per atom. The density of states at the Fermi level comes out at 0.919 states/eV per atom. The calculation puts the total magnetization at 3.05 μB per formula unit. The calculation puts the calculated volume at 17.2 A^3/atom.

No. 9
CePmOsPt: relaxed, PBE-GGA.

Cell: 7.0537 7.0537 7.0537 Å, 90.00 90.00 90.00°
Space group F-43m (No. 216)
Symmetry-distinct sites (fractional):
Ce1 0.0000 0.0000 0.0000 [4 per cell]
Pm1 0.0000 0.0000 0.5000 [4 per cell]
Os1 0.2500 0.2500 0.7500 [4 per cell]
Pt1 0.2500 0.2500 0.2500 [4 per cell]

Its total energy is -7.478 eV per atom. The density of states at the Fermi level comes out at 1.188 states/eV per atom. Its energy of formation is -0.4888 eV per atom. The calculation puts the total magnetization at 0.42 μB per formula unit. The calculation puts the calculated volume at 21.9 A^3/atom.

No. 10
Mo2Ir2W: relaxed, PBE-GGA.

Cell: 7.5640 7.5640 2.7819 Å, 90.00 90.00 90.00°
Space group P4/mbm (No. 127)
Symmetry-distinct sites (fractional):
Mo1 0.1718 0.3282 0.0000 [4 per cell]
Ir1 0.1251 0.6251 0.5000 [4 per cell]
W1 0.0000 0.0000 0.5000 [2 per cell]

Its total energy is -10.432 eV per atom. The density of states at the Fermi level comes out at 0.918 states/eV per atom. Its energy of formation is 0.0357 eV per atom. The calculation puts the total magnetization at 0.00 μB per formula unit. The calculation puts the calculated volume at 15.9 A^3/atom.

No. 11
Pm5Pr5In2: relaxed, PBE-GGA.

Cell: 11.5611 5.3977 12.9752 Å, 90.00 92.05 90.00°
Space group C2/m (No. 12)
Symmetry-distinct sites (fractional):
Pm1 0.0000 0.0000 0.0000 [2 per cell]
Pm2 0.0909 0.5000 0.8084 [4 per cell]
Pm3 0.1598 0.5000 0.5137 [4 per cell]
Pr1 0.0000 0.0000 0.5000 [2 per cell]
Pr2 0.1219 0.0000 0.2671 [4 per cell]
Pr3 0.1993 0.5000 0.0747 [4 per cell]
In1 0.1879 0.0000 0.6930 [4 per cell]

Its total energy is -4.501 eV per atom. The density of states at the Fermi level comes out at 1.270 states/eV per atom. Its energy of formation is -0.0734 eV per atom. The calculation puts the total magnetization at 0.00 μB per formula unit. The calculation puts the calculated volume at 33.7 A^3/atom.

No. 12
Sm2ScCd4: relaxed, PBE-GGA.

Cell: 5.3736 5.3736 15.6915 Å, 90.00 90.00 90.00°
Space group I4/mmm (No. 139)
Symmetry-distinct sites (fractional):
Sm1 0.0000 0.0000 0.1120 [4 per cell]
Sc1 0.0000 0.0000 0.5000 [2 per cell]
Cd1 0.0000 0.0000 0.3161 [4 per cell]
Cd2 0.0000 0.5000 0.0000 [4 per cell]

Its total energy is -2.584 eV per atom. The density of states at the Fermi level comes out at 0.983 states/eV per atom. Its energy of formation is 0.1913 eV per atom. The calculation puts the total magnetization at 0.00 μB per formula unit. As for the relative energy among the computed polymorphs: 30.3 kJ per mole of atoms. The calculation puts the calculated volume at 32.4 A^3/atom.